## a
Compound: TlCdCo2
Source: the Alexandria database
Functional: GGA-PBE
Structure: relaxed

a b c (Å): 4.1154 5.3908 5.3908
angles (deg): 34.96 90.00 90.00
Sites, in units of the cell vectors:
Tl (0.0000, 0.0000, 0.0000)
Cd (0.5000, 0.6747, 0.6747)
Co (0.0000, 0.2778, 0.2778)
Co (0.5000, 0.3866, 0.3866)

total magnetization: 2.9 μB per cell
crystal system: orthorhombic

## b
Compound: TlCdCo2
Source: the Alexandria database
Functional: GGA-PBE
Structure: relaxed

a b c (Å): 4.4395 4.4395 3.1666
angles (deg): 90.00 90.00 90.00
Sites, in units of the cell vectors:
Tl (0.0000, 0.0000, 0.0000)
Cd (0.5000, 0.5000, 0.0000)
Co (0.0000, 0.5000, 0.5000)
Co (0.5000, 0.0000, 0.5000)

total magnetization: 0.2 μB per cell
crystal system: tetragonal

## c
Compound: TlCdCo2
Source: the Alexandria database
Functional: GGA-PBE
Structure: relaxed

a b c (Å): 5.7977 5.7977 5.7977
angles (deg): 103.25 103.25 122.80
Sites, in units of the cell vectors:
Tl (0.0000, 0.0000, 0.0000)
Tl (0.7500, 0.2500, 0.5000)
Cd (0.2500, 0.7500, 0.5000)
Cd (0.5000, 0.5000, 0.0000)
Co (0.1248, 0.1250, 0.4998)
Co (0.3750, 0.8752, 0.0002)
Co (0.6252, 0.6250, 0.5002)
Co (0.8750, 0.3748, 0.9998)

total magnetization: 5.3 μB per cell
crystal system: tetragonal

## d
Compound: TlCdCo2
Source: the Alexandria database
Functional: GGA-PBE
Structure: relaxed

a b c (Å): 8.5055 8.5055 8.5055
angles (deg): 21.90 21.90 21.90
Sites, in units of the cell vectors:
Tl (0.0000, 0.0000, 0.0000)
Cd (0.7754, 0.7754, 0.7754)
Co (0.2432, 0.2432, 0.2432)
Co (0.5262, 0.5262, 0.5262)

total magnetization: 3.6 μB per cell
crystal system: trigonal

Of them, a has the highest stability.

## a
Compound: TlCdCo2
Source: the Alexandria database
Functional: GGA-PBE
Structure: relaxed

a b c (Å): 5.2819 5.2819 4.6364
angles (deg): 109.13 109.13 33.38
Sites, in units of the cell vectors:
Tl (0.0000, 0.0000, 0.0000)
Cd (0.2115, 0.2115, 0.6595)
Co (0.4477, 0.4477, 0.4595)
Co (0.7633, 0.7633, 0.2041)

total magnetization: 2.9 μB per cell
crystal system: monoclinic

## b
Compound: TlCdCo2
Source: the Alexandria database
Functional: GGA-PBE
Structure: relaxed

a b c (Å): 8.5933 8.5933 8.5933
angles (deg): 20.32 20.32 20.32
Sites, in units of the cell vectors:
Tl (0.0000, 0.0000, 0.0000)
Cd (0.5000, 0.5000, 0.5000)
Co (0.2502, 0.2502, 0.2502)
Co (0.7498, 0.7498, 0.7498)

total magnetization: 2.2 μB per cell
crystal system: trigonal

Of them, a has the highest stability.

## a
Compound: TlCd2CoW
Source: the Alexandria database
Functional: GGA-PBE
Structure: relaxed

a b c (Å): 5.0017 5.0017 4.5053
angles (deg): 90.00 90.00 90.00
Sites, in units of the cell vectors:
Tl (0.0000, 0.0000, 0.0000)
Cd (0.0000, 0.5000, 0.5000)
Cd (0.5000, 0.0000, 0.5000)
Co (0.5000, 0.5000, 0.5000)
W (0.5000, 0.5000, 0.0000)

total magnetization: 1.9 μB per cell
crystal system: tetragonal

## b
Compound: TlCd2CoW
Source: the Alexandria database
Functional: GGA-PBE
Structure: relaxed

a b c (Å): 5.1401 5.1401 4.6773
angles (deg): 90.00 90.00 90.00
Sites, in units of the cell vectors:
Tl (0.0000, 0.0000, 0.0000)
Cd (0.0000, 0.5000, 0.0000)
Cd (0.5000, 0.0000, 0.0000)
Co (0.0000, 0.0000, 0.5000)
W (0.5000, 0.5000, 0.5000)

total magnetization: 0.0 μB per cell
crystal system: tetragonal

Of them, a has the highest stability.

## a
Compound: Tm8Cd2Co
Source: the Alexandria database
Functional: GGA-PBE
Structure: relaxed

a b c (Å): 8.6462 8.6462 6.0623
angles (deg): 103.68 103.68 128.50
Sites, in units of the cell vectors:
Tm (0.0000, 0.0000, 0.0000)
Tm (0.0737, 0.4618, 0.2201)
Tm (0.1040, 0.8880, 0.5034)
Tm (0.4175, 0.6346, 0.8858)
Tm (0.4618, 0.0737, 0.2201)
Tm (0.5473, 0.5473, 0.3920)
Tm (0.6346, 0.4175, 0.8858)
Tm (0.8880, 0.1040, 0.5034)
Cd (0.5592, 0.9861, 0.7163)
Cd (0.9861, 0.5592, 0.7163)
Co (0.2681, 0.2681, 0.4987)

total magnetization: 0.0 μB per cell
crystal system: monoclinic

## b
Compound: Tm8Cd2Co
Source: the Alexandria database
Functional: GGA-PBE
Structure: relaxed

a b c (Å): 8.9590 8.9590 6.7766
angles (deg): 109.65 109.65 34.49
Sites, in units of the cell vectors:
Tm (0.0189, 0.0189, 0.2840)
Tm (0.1974, 0.1974, 0.7782)
Tm (0.3535, 0.3535, 0.5569)
Tm (0.4075, 0.4075, 0.0886)
Tm (0.5925, 0.5925, 0.9114)
Tm (0.6465, 0.6465, 0.4431)
Tm (0.8026, 0.8026, 0.2218)
Tm (0.9811, 0.9811, 0.7160)
Cd (0.1827, 0.1827, 0.2047)
Cd (0.8173, 0.8173, 0.7953)
Co (0.5000, 0.5000, 0.5000)

total magnetization: 0.0 μB per cell
crystal system: monoclinic

Of them, b has the highest stability.

## a
Compound: Tm6Cd2Co
Source: the Alexandria database
Functional: GGA-PBE
Structure: relaxed

a b c (Å): 7.1304 7.0384 11.9236
angles (deg): 90.00 126.04 90.00
Sites, in units of the cell vectors:
Tm (0.1854, 0.9999, 0.2544)
Tm (0.1854, 0.5001, 0.7544)
Tm (0.2889, 0.2478, 0.5390)
Tm (0.2889, 0.2522, 0.0390)
Tm (0.2906, 0.7496, 0.0388)
Tm (0.2906, 0.7504, 0.5388)
Tm (0.7094, 0.2496, 0.4612)
Tm (0.7094, 0.2504, 0.9612)
Tm (0.7111, 0.7478, 0.9610)
Tm (0.7111, 0.7522, 0.4610)
Tm (0.8146, 0.0001, 0.7456)
Tm (0.8146, 0.4999, 0.2456)
Cd (0.2526, 0.5012, 0.2550)
Cd (0.2526, 0.9988, 0.7550)
Cd (0.7474, 0.0012, 0.2450)
Cd (0.7474, 0.4988, 0.7450)
Co (0.0000, 0.0000, 0.0000)
Co (0.0000, 0.5000, 0.5000)

total magnetization: 0.0 μB per cell
crystal system: monoclinic

## b
Compound: Tm6Cd2Co
Source: the Alexandria database
Functional: GGA-PBE
Structure: relaxed

a b c (Å): 3.5978 8.6009 8.6009
angles (deg): 119.60 90.00 90.00
Sites, in units of the cell vectors:
Tm (0.0000, 0.0000, 0.0000)
Tm (0.0000, 0.5301, 0.7616)
Tm (0.0000, 0.7616, 0.5301)
Tm (0.5000, 0.1571, 0.7616)
Tm (0.5000, 0.3656, 0.3656)
Tm (0.5000, 0.7616, 0.1571)
Cd (0.0000, 0.0945, 0.4289)
Cd (0.0000, 0.4289, 0.0945)
Co (0.5000, 0.7699, 0.7699)

total magnetization: 0.0 μB per cell
crystal system: orthorhombic

Of them, b has the highest stability.

## a
Compound: Tm2CdCo
Source: the Alexandria database
Functional: GGA-PBE
Structure: relaxed

a b c (Å): 4.9594 4.9594 4.9594
angles (deg): 60.00 60.00 60.00
Sites, in units of the cell vectors:
Tm (0.2500, 0.2500, 0.2500)
Tm (0.7500, 0.7500, 0.7500)
Cd (0.0000, 0.0000, 0.0000)
Co (0.5000, 0.5000, 0.5000)

total magnetization: 0.6 μB per cell
crystal system: cubic

## b
Compound: Tm2CdCo
Source: the Alexandria database
Functional: GGA-PBE
Structure: relaxed

a b c (Å): 3.3721 3.3721 7.5504
angles (deg): 90.00 90.00 90.00
Sites, in units of the cell vectors:
Tm (0.0000, 0.0000, 0.2120)
Tm (0.0000, 0.0000, 0.7880)
Cd (0.5000, 0.5000, 0.5000)
Co (0.5000, 0.5000, 0.0000)

total magnetization: 0.4 μB per cell
crystal system: tetragonal

## c
Compound: Tm2CdCo
Source: the Alexandria database
Functional: GGA-PBE
Structure: relaxed

a b c (Å): 8.2627 8.2627 8.2627
angles (deg): 26.06 26.06 26.06
Sites, in units of the cell vectors:
Tm (0.2298, 0.2298, 0.2298)
Tm (0.7702, 0.7702, 0.7702)
Cd (0.0000, 0.0000, 0.0000)
Co (0.5000, 0.5000, 0.5000)

total magnetization: 0.0 μB per cell
crystal system: trigonal

Of them, b has the highest stability.